# BaTb2O4 | Alexandria via LeMat-Bulk | PBE | relaxed
# - Relative energy among the computed polymorphs: 0.0 meV/atom
data_BaTb2O4
_chemical_formula_sum 'Ba4 Tb8 O16'
_space_group_name_H-M_alt 'P n m a'
_space_group_IT_number 62
_cell_length_a 10.5397
_cell_length_b 3.5054
_cell_length_c 12.2607
_cell_angle_alpha 90.00
_cell_angle_beta 90.00
_cell_angle_gamma 90.00
loop_
_space_group_symop_operation_xyz
'x,y,z'
'-x,-y,-z'
'-x+1/2,-y,z+1/2'
'x+1/2,y,-z+1/2'
'x+1/2,-y+1/2,-z+1/2'
'-x+1/2,y+1/2,z+1/2'
'-x,y+1/2,-z'
'x,-y+1/2,z'
loop_
_atom_site_label
_atom_site_type_symbol
_atom_site_fract_x
_atom_site_fract_y
_atom_site_fract_z
Ba1 Ba 0.2470 0.2500 0.1486
Tb1 Tb 0.0745 0.2500 0.3889
Tb2 Tb 0.0774 0.2500 0.8903
O1 O 0.0186 0.7500 0.7826
O2 O 0.0703 0.2500 0.5743
O3 O 0.1159 0.7500 0.0184
O4 O 0.2097 0.7500 0.3401

# BaTb2O4 | Alexandria via LeMat-Bulk | PBE | relaxed
# - Relative energy among the computed polymorphs: 40.0 meV/atom
data_BaTb2O4
_chemical_formula_sum 'Ba4 Tb8 O16'
_space_group_name_H-M_alt 'C m c m'
_space_group_IT_number 63
_space_group_name_Hall '-C 2c 2'
_cell_length_a 3.4746
_cell_length_b 11.4622
_cell_length_c 11.5541
_cell_angle_alpha 90.00
_cell_angle_beta 90.00
_cell_angle_gamma 90.00
loop_
_atom_site_label
_atom_site_type_symbol
_atom_site_fract_x
_atom_site_fract_y
_atom_site_fract_z
Ba1 Ba 0.0000 0.1119 0.2500
Tb1 Tb 0.0000 0.3659 0.0710
O1 O 0.0000 0.0000 0.0000
O2 O 0.0000 0.2600 0.6024
O3 O 0.0000 0.4408 0.2500

# BaTbO2 | Alexandria via LeMat-Bulk | PBE | relaxed
# - Relative energy among the computed polymorphs: 0.5 meV/atom
data_BaTbO2
_chemical_formula_sum 'Ba4 Tb4 O8'
_space_group_name_H-M_alt 'P n m a'
_space_group_IT_number 62
_cell_length_a 6.3508
_cell_length_b 4.3390
_cell_length_c 12.1919
_cell_angle_alpha 90.00
_cell_angle_beta 90.00
_cell_angle_gamma 90.00
loop_
_space_group_symop_operation_xyz
'x,y,z'
'-x,-y,-z'
'-x+1/2,-y,z+1/2'
'x+1/2,y,-z+1/2'
'x+1/2,-y+1/2,-z+1/2'
'-x+1/2,y+1/2,z+1/2'
'-x,y+1/2,-z'
'x,-y+1/2,z'
loop_
_atom_site_label
_atom_site_type_symbol
_atom_site_fract_x
_atom_site_fract_y
_atom_site_fract_z
Ba1 Ba 0.0590 0.2500 0.1608
Tb1 Tb 0.0409 0.7500 0.3900
O1 O 0.0350 0.7500 0.5826
O2 O 0.2068 0.2500 0.7536

VASP calculation (PBE) on a relaxed Ba2Tb2O5 crystal.

Structure (CIF):
```
data_Ba2Tb2O5
_chemical_formula_sum 'Ba4 Tb4 O10'
_space_group_name_H-M_alt 'C 1 2/m 1'
_space_group_IT_number 12
_cell_length_a 12.5647
_cell_length_b 4.3323
_cell_length_c 7.1886
_cell_angle_alpha 90.00
_cell_angle_beta 123.84
_cell_angle_gamma 90.00
loop_
_space_group_symop_operation_xyz
'x,y,z'
'-x,-y,-z'
'-x,y,-z'
'x,-y,z'
'x+1/2,y+1/2,z'
'-x+1/2,-y+1/2,-z'
'-x+1/2,y+1/2,-z'
'x+1/2,-y+1/2,z'
loop_
_atom_site_label
_atom_site_type_symbol
_atom_site_fract_x
_atom_site_fract_y
_atom_site_fract_z
Ba1 Ba 0.1299 0.0000 0.4808
Tb1 Tb 0.1126 0.5000 0.9143
O1 O 0.0000 0.5000 0.5000
O2 O 0.1133 0.5000 0.2267
O3 O 0.1567 0.0000 0.8812
```

Short version: formation energy without anion corrections = -3.27, -3.23, -2.75, -3.04 eV/atom, in the order given.